Compound: NpSc2RhO8
Source: Alexandria
Functional: GGA-PBE
Structure: relaxed

Cell lengths 4.876, 4.876, 6.347 Å; angles 90.00, 90.00, 92.19 degrees
Sites, in units of the cell vectors:
Np (0.000, 0.000, 0.000)
Sc (0.500, 0.500, 0.263)
Sc (0.500, 0.500, 0.737)
Rh (0.000, 0.000, 0.500)
O (0.191, 0.809, 0.251)
O (0.191, 0.809, 0.749)
O (0.297, 0.297, 0.500)
O (0.300, 0.300, 0.000)
O (0.700, 0.700, 0.000)
O (0.703, 0.703, 0.500)
O (0.809, 0.191, 0.251)
O (0.809, 0.191, 0.749)

## Properties
- Space group: Cmmm, No. 65
- Total magnetic moment: 1.14 Bohr magnetons per cell
- Raw formation energy: -2.529 eV per atom
- DFT total energy: -103.0 eV/cell


Compound: ScIn2As2
Source: Alexandria
Functional: GGA-PBE
Structure: relaxed

Cell lengths 7.340, 7.340, 4.196 Å; angles 90.00, 90.00, 90.00 degrees
Sites, in units of the cell vectors:
Sc (0.000, 0.000, 0.000)
Sc (0.500, 0.500, 0.000)
In (0.157, 0.343, 0.500)
In (0.343, 0.843, 0.500)
In (0.657, 0.157, 0.500)
In (0.843, 0.657, 0.500)
As (0.159, 0.659, 0.000)
As (0.341, 0.159, 0.000)
As (0.659, 0.841, 0.000)
As (0.841, 0.341, 0.000)

## Properties
- Space group: P4/mbm, No. 127
- E_form: -0.308 eV/atom
- Total magnetic moment: 0.00 Bohr magnetons per cell
- DFT total energy: -45.3 eV/cell


Compound: CoCuHgIr2
Source: Alexandria
Functional: GGA-PBE
Structure: relaxed

Cell lengths 4.973, 4.973, 4.607 Å; angles 90.00, 90.00, 90.00 degrees
Sites, in units of the cell vectors:
Co (0.000, 0.000, 0.000)
Cu (0.500, 0.500, 0.000)
Hg (0.500, 0.500, 0.500)
Ir (0.000, 0.500, 0.500)
Ir (0.500, 0.000, 0.500)

## Properties
- Space group: P4/mmm, No. 123
- E_form: 2.266 eV/atom
- Total magnetic moment: 3.61 Bohr magnetons per cell
- DFT total energy: -17.9 eV/cell


Compound: Cu2ReP
Source: Alexandria
Functional: GGA-PBE
Structure: relaxed

Cell lengths 3.056, 3.056, 5.499 Å; angles 90.00, 90.00, 90.00 degrees
Sites, in units of the cell vectors:
Cu (0.000, 0.000, 0.000)
Cu (0.500, 0.500, 0.216)
Re (0.500, 0.500, 0.702)
P (0.000, 0.000, 0.492)

## Properties
- Space group: P4mm, No. 99
- E_form: 0.042 eV/atom
- Total magnetic moment: 0.00 Bohr magnetons per cell
- DFT total energy: -25.9 eV/cell


Compound: SrCaBe
Source: Alexandria
Functional: GGA-PBE
Structure: relaxed

Cell lengths 7.419, 7.419, 7.419 Å; angles 90.00, 90.00, 90.00 degrees
Sites, in units of the cell vectors:
Sr (0.000, 0.000, 0.000)
Sr (0.000, 0.500, 0.500)
Sr (0.500, 0.000, 0.500)
Sr (0.500, 0.500, 0.000)
Ca (0.000, 0.000, 0.500)
Ca (0.000, 0.500, 0.000)
Ca (0.500, 0.000, 0.000)
Ca (0.500, 0.500, 0.500)
Be (0.250, 0.250, 0.250)
Be (0.250, 0.750, 0.750)
Be (0.750, 0.250, 0.750)
Be (0.750, 0.750, 0.250)

## Properties
- Space group: F-43m, No. 216
- Polymorph energy (0 for the lowest one): 125 meV per atom
- E_form: 0.445 eV/atom
- Total magnetic moment: 3.20 Bohr magnetons per cell
- DFT total energy: -24.3 eV/cell


Compound: RbBaAs
Source: Alexandria
Functional: GGA-PBE
Structure: relaxed

Cell lengths 5.205, 5.205, 6.473 Å; angles 90.00, 90.00, 120.00 degrees
Sites, in units of the cell vectors:
Rb (0.000, 0.000, 0.000)
Ba (0.667, 0.333, 0.541)
As (0.333, 0.667, 0.710)

## Properties
- Space group: P3m1, No. 156
- E_form: -0.576 eV/atom
- Total magnetic moment: 0.00 Bohr magnetons per cell
- DFT total energy: -9.3 eV/cell


Compound: TbBe17Ni
Source: Alexandria
Functional: GGA-PBE
Structure: relaxed

Cell lengths 5.664, 5.664, 5.664 Å; angles 83.14, 83.14, 83.14 degrees
Sites, in units of the cell vectors:
Tb (0.000, 0.000, 0.000)
Be (0.047, 0.354, 0.634)
Be (0.047, 0.634, 0.354)
Be (0.218, 0.684, 0.684)
Be (0.250, 0.250, 0.250)
Be (0.337, 0.337, 0.852)
Be (0.337, 0.852, 0.337)
Be (0.354, 0.047, 0.634)
Be (0.354, 0.634, 0.047)
Be (0.444, 0.444, 0.444)
Be (0.505, 0.997, 0.997)
Be (0.634, 0.047, 0.354)
Be (0.634, 0.354, 0.047)
Be (0.684, 0.218, 0.684)
Be (0.684, 0.684, 0.218)
Be (0.852, 0.337, 0.337)
Be (0.997, 0.505, 0.997)
Be (0.997, 0.997, 0.505)
Ni (0.655, 0.655, 0.655)

## Properties
- Space group: R3m, No. 160
- E_form: -0.045 eV/atom
- Total magnetic moment: 0.00 Bohr magnetons per cell
- DFT total energy: -74.6 eV/cell


Compound: MgHgCl
Source: Alexandria
Functional: GGA-PBE
Structure: relaxed

Cell lengths 4.206, 5.229, 14.102 Å; angles 90.00, 90.00, 90.00 degrees
Sites, in units of the cell vectors:
Mg (0.000, 0.000, 0.000)
Mg (0.000, 0.500, 0.500)
Mg (0.500, 0.000, 0.500)
Mg (0.500, 0.500, 0.000)
Hg (0.000, 0.000, 0.641)
Hg (0.000, 0.500, 0.141)
Hg (0.500, 0.000, 0.141)
Hg (0.500, 0.500, 0.641)
Cl (0.000, 0.000, 0.399)
Cl (0.000, 0.500, 0.899)
Cl (0.500, 0.000, 0.899)
Cl (0.500, 0.500, 0.399)

## Properties
- Space group: Fmm2, No. 42
- Polymorph energy (0 for the lowest one): 161 meV per atom
- Total magnetic moment: 0.00 Bohr magnetons per cell
- Raw formation energy: -0.672 eV per atom
- DFT total energy: -23.0 eV/cell


Compound: YPW2
Source: Alexandria
Functional: GGA-PBE
Structure: relaxed

Cell lengths 3.831, 3.831, 4.943 Å; angles 90.00, 90.00, 90.00 degrees
Sites, in units of the cell vectors:
Y (0.000, 0.000, 0.000)
P (0.500, 0.500, 0.000)
W (0.000, 0.500, 0.500)
W (0.500, 0.000, 0.500)

## Properties
- Space group: P4/mmm, No. 123
- E_form: 0.254 eV/atom
- Total magnetic moment: 0.00 Bohr magnetons per cell
- DFT total energy: -36.8 eV/cell


Compound: InSb2Pt
Source: Alexandria
Functional: GGA-PBE
Structure: relaxed

Cell lengths 4.503, 5.324, 8.899 Å; angles 90.00, 90.00, 90.00 degrees
Sites, in units of the cell vectors:
In (0.000, 0.000, 0.000)
In (0.000, 0.500, 0.500)
Sb (0.000, 0.000, 0.352)
Sb (0.000, 0.500, 0.852)
Sb (0.500, 0.000, 0.770)
Sb (0.500, 0.500, 0.270)
Pt (0.500, 0.000, 0.186)
Pt (0.500, 0.500, 0.686)

## Properties
- Space group: Amm2, No. 38
- Total magnetic moment: 0.00 Bohr magnetons per cell
- Raw formation energy: -0.144 eV per atom
- DFT total energy: -35.2 eV/cell


Compound: Li2SO
Source: Alexandria
Functional: GGA-PBE
Structure: relaxed

Cell lengths 5.800, 5.800, 5.800 Å; angles 90.00, 90.00, 90.00 degrees
Sites, in units of the cell vectors:
Li (0.250, 0.250, 0.250)
Li (0.250, 0.250, 0.750)
Li (0.250, 0.750, 0.250)
Li (0.250, 0.750, 0.750)
Li (0.750, 0.250, 0.250)
Li (0.750, 0.250, 0.750)
Li (0.750, 0.750, 0.250)
Li (0.750, 0.750, 0.750)
S (0.000, 0.000, 0.000)
S (0.000, 0.500, 0.500)
S (0.500, 0.000, 0.500)
S (0.500, 0.500, 0.000)
O (0.000, 0.000, 0.500)
O (0.000, 0.500, 0.000)
O (0.500, 0.000, 0.000)
O (0.500, 0.500, 0.500)

## Properties
- Space group: Fm-3m, No. 225
- Polymorph energy (0 for the lowest one): 343 meV per atom
- Total magnetic moment: 7.79 Bohr magnetons per cell
- Raw formation energy: -0.641 eV per atom
- DFT total energy: -61.9 eV/cell


Compound: CeNbSe4
Source: Alexandria
Functional: GGA-PBE
Structure: relaxed

Cell lengths 9.217, 9.217, 6.887 Å; angles 90.00, 90.00, 148.25 degrees
Sites, in units of the cell vectors:
Ce (0.165, 0.835, 0.500)
Ce (0.835, 0.165, 0.000)
Nb (0.404, 0.596, 0.618)
Nb (0.596, 0.404, 0.118)
Se (0.097, 0.903, 0.107)
Se (0.279, 0.721, 0.819)
Se (0.338, 0.662, 0.287)
Se (0.461, 0.539, 0.972)
Se (0.539, 0.461, 0.472)
Se (0.662, 0.338, 0.787)
Se (0.721, 0.279, 0.319)
Se (0.903, 0.097, 0.607)

## Properties
- Space group: Cmc2_1, No. 36
- Total magnetic moment: 1.25 Bohr magnetons per cell
- Raw formation energy: -1.032 eV per atom
- DFT total energy: -72.3 eV/cell


Compound: UP2W
Source: Alexandria
Functional: GGA-PBE
Structure: relaxed

Cell lengths 3.374, 3.374, 21.410 Å; angles 90.00, 90.00, 120.00 degrees
Sites, in units of the cell vectors:
U (0.000, 0.000, 0.000)
U (0.333, 0.667, 0.667)
U (0.667, 0.333, 0.333)
P (0.000, 0.000, 0.429)
P (0.000, 0.000, 0.571)
P (0.333, 0.667, 0.096)
P (0.333, 0.667, 0.238)
P (0.667, 0.333, 0.763)
P (0.667, 0.333, 0.904)
W (0.000, 0.000, 0.833)
W (0.333, 0.667, 0.499)
W (0.667, 0.333, 0.166)

## Properties
- Space group: R3m, No. 160
- Polymorph energy (0 for the lowest one): 0 meV per atom
- E_form: -0.472 eV/atom
- Total magnetic moment: 7.11 Bohr magnetons per cell
- DFT total energy: -110.8 eV/cell


Compound: CdPbAuO5
Source: Alexandria
Functional: GGA-PBE
Structure: relaxed

Cell lengths 6.659, 6.659, 6.146 Å; angles 111.52, 111.52, 96.37 degrees
Sites, in units of the cell vectors:
Cd (0.097, 0.903, 0.750)
Cd (0.903, 0.097, 0.250)
Pb (0.000, 0.500, 0.000)
Pb (0.500, 0.000, 0.500)
Au (0.429, 0.571, 0.750)
Au (0.571, 0.429, 0.250)
O (0.122, 0.878, 0.250)
O (0.127, 0.566, 0.747)
O (0.275, 0.411, 0.268)
O (0.411, 0.275, 0.768)
O (0.434, 0.873, 0.753)
O (0.566, 0.127, 0.247)
O (0.589, 0.725, 0.232)
O (0.725, 0.589, 0.732)
O (0.873, 0.434, 0.253)
O (0.878, 0.122, 0.750)

## Properties
- Space group: C2/c, No. 15
- Total magnetic moment: 1.97 Bohr magnetons per cell
- Raw formation energy: -0.425 eV per atom
- DFT total energy: -72.2 eV/cell


Compound: LiIn2Au8
Source: Alexandria
Functional: GGA-PBE
Structure: relaxed

Cell lengths 7.926, 7.926, 6.680 Å; angles 107.32, 107.32, 30.64 degrees
Sites, in units of the cell vectors:
Li (0.000, 0.000, 0.000)
In (0.283, 0.283, 0.344)
In (0.717, 0.717, 0.656)
Au (0.091, 0.091, 0.443)
Au (0.171, 0.171, 0.915)
Au (0.361, 0.361, 0.810)
Au (0.462, 0.462, 0.262)
Au (0.538, 0.538, 0.738)
Au (0.639, 0.639, 0.190)
Au (0.829, 0.829, 0.085)
Au (0.909, 0.909, 0.557)

## Properties
- Space group: C2/m, No. 12
- Polymorph energy (0 for the lowest one): 6 meV per atom
- E_form: -0.195 eV/atom
- Total magnetic moment: 0.00 Bohr magnetons per cell
- DFT total energy: -35.8 eV/cell


Compound: Y2TmZr
Source: Alexandria
Functional: GGA-PBE
Structure: relaxed

Cell lengths 7.787, 7.787, 7.787 Å; angles 90.00, 90.00, 90.00 degrees
Sites, in units of the cell vectors:
Y (0.250, 0.250, 0.250)
Y (0.250, 0.250, 0.750)
Y (0.250, 0.750, 0.250)
Y (0.250, 0.750, 0.750)
Y (0.750, 0.250, 0.250)
Y (0.750, 0.250, 0.750)
Y (0.750, 0.750, 0.250)
Y (0.750, 0.750, 0.750)
Tm (0.000, 0.000, 0.000)
Tm (0.000, 0.500, 0.500)
Tm (0.500, 0.000, 0.500)
Tm (0.500, 0.500, 0.000)
Zr (0.000, 0.000, 0.500)
Zr (0.000, 0.500, 0.000)
Zr (0.500, 0.000, 0.000)
Zr (0.500, 0.500, 0.500)

## Properties
- Space group: Fm-3m, No. 225
- Polymorph energy (0 for the lowest one): 128 meV per atom
- E_form: 0.204 eV/atom
- Total magnetic moment: 12.87 Bohr magnetons per cell
- DFT total energy: -100.5 eV/cell


Compound: Ac3Cd2Ni2As4
Source: Alexandria
Functional: GGA-PBE
Structure: relaxed

Cell lengths 4.350, 4.350, 16.387 Å; angles 90.00, 90.00, 120.00 degrees
Sites, in units of the cell vectors:
Ac (0.000, 0.000, 0.000)
Ac (0.000, 0.000, 0.254)
Ac (0.000, 0.000, 0.746)
Cd (0.333, 0.667, 0.560)
Cd (0.667, 0.333, 0.440)
Ni (0.333, 0.667, 0.135)
Ni (0.667, 0.333, 0.865)
As (0.333, 0.667, 0.380)
As (0.333, 0.667, 0.871)
As (0.667, 0.333, 0.129)
As (0.667, 0.333, 0.620)

## Properties
- Space group: P-3m1, No. 164
- E_form: -0.794 eV/atom
- Total magnetic moment: 0.00 Bohr magnetons per cell
- DFT total energy: -53.1 eV/cell


Compound: Fe2Pb
Source: Alexandria
Functional: GGA-PBE
Structure: relaxed

Cell lengths 5.224, 5.224, 8.452 Å; angles 90.00, 90.00, 120.00 degrees
Sites, in units of the cell vectors:
Fe (0.000, 0.000, 0.000)
Fe (0.000, 0.000, 0.500)
Fe (0.163, 0.325, 0.250)
Fe (0.163, 0.837, 0.250)
Fe (0.325, 0.163, 0.750)
Fe (0.675, 0.837, 0.250)
Fe (0.837, 0.163, 0.750)
Fe (0.837, 0.675, 0.750)
Pb (0.333, 0.667, 0.560)
Pb (0.333, 0.667, 0.940)
Pb (0.667, 0.333, 0.060)
Pb (0.667, 0.333, 0.440)

## Properties
- Space group: P6_3/mmc, No. 194
- E_form: 0.401 eV/atom
- Total magnetic moment: 21.11 Bohr magnetons per cell
- DFT total energy: -77.7 eV/cell


Compound: RbSmGd2
Source: Alexandria
Functional: GGA-PBE
Structure: relaxed

Cell lengths 3.671, 3.671, 40.318 Å; angles 90.00, 90.00, 120.00 degrees
Sites, in units of the cell vectors:
Rb (0.000, 0.000, 0.000)
Rb (0.333, 0.667, 0.667)
Rb (0.667, 0.333, 0.333)
Sm (0.000, 0.000, 0.500)
Sm (0.333, 0.667, 0.167)
Sm (0.667, 0.333, 0.833)
Gd (0.000, 0.000, 0.096)
Gd (0.000, 0.000, 0.904)
Gd (0.333, 0.667, 0.570)
Gd (0.333, 0.667, 0.763)
Gd (0.667, 0.333, 0.237)
Gd (0.667, 0.333, 0.430)

## Properties
- Space group: R-3m, No. 166
- E_form: 0.273 eV/atom
- Total magnetic moment: 45.95 Bohr magnetons per cell
- DFT total energy: -98.3 eV/cell


Compound: P2Os
Source: Alexandria
Functional: GGA-PBE
Structure: relaxed

Cell lengths 2.956, 5.090, 6.556 Å; angles 90.00, 90.00, 90.00 degrees
Sites, in units of the cell vectors:
P (0.000, 0.214, 0.000)
P (0.000, 0.786, 0.000)
P (0.500, 0.286, 0.500)
P (0.500, 0.714, 0.500)
Os (0.000, 0.000, 0.328)
Os (0.500, 0.500, 0.828)

## Properties
- Space group: Imm2, No. 44
- E_form: -0.163 eV/atom
- Total magnetic moment: 0.00 Bohr magnetons per cell
- DFT total energy: -45.1 eV/cell